No. 1
VASP calculation (PBE) on a relaxed structure of La2GeOsC.

formation energy = -0.375 eV per atom
energy relative to the lowest polymorph listed for this composition = 0 meV/atom

Lattice parameters (Å, degrees): 6.547 4.244 8.895 90.00 109.95 90.00
Atoms (fractional coordinates):
La1 0.214 0.250 0.391
La2 0.230 0.250 0.970
La3 0.770 0.750 0.030
La4 0.786 0.750 0.609
Ge1 0.306 0.750 0.696
Ge2 0.694 0.250 0.304
Os1 0.487 0.750 0.251
Os2 0.513 0.250 0.749
C1 0.185 0.750 0.174
C2 0.815 0.250 0.826

No. 2
VASP calculation (PBE) on a relaxed structure of La4GePbC.

formation energy = -0.468 eV per atom

Lattice parameters (Å, degrees): 9.212 9.212 7.127 90.00 90.00 134.73
Atoms (fractional coordinates):
La1 0.000 0.500 0.000
La2 0.000 0.500 0.500
La3 0.068 0.932 0.750
La4 0.414 0.586 0.750
La5 0.500 0.000 0.000
La6 0.500 0.000 0.500
La7 0.586 0.414 0.250
La8 0.932 0.068 0.250
Ge1 0.114 0.886 0.250
Ge2 0.886 0.114 0.750
Pb1 0.390 0.610 0.250
Pb2 0.610 0.390 0.750
C1 0.272 0.728 0.750
C2 0.728 0.272 0.250

No. 3
VASP calculation (PBE) on a relaxed structure of LaGeRhC2.

formation energy = 2.432 eV per atom

Lattice parameters (Å, degrees): 4.257 4.257 5.743 90.00 90.00 90.00
Atoms (fractional coordinates):
La1 0.000 0.000 0.000
Ge1 0.000 0.000 0.500
Rh1 0.500 0.500 0.500
C1 0.000 0.500 0.000
C2 0.500 0.000 0.000

No. 4
VASP calculation (PBE) on a relaxed structure of LaGeRu2C.

formation energy = -0.460 eV per atom

Lattice parameters (Å, degrees): 5.977 5.977 7.365 90.00 90.00 140.08
Atoms (fractional coordinates):
La1 0.051 0.949 0.750
La2 0.949 0.051 0.250
Ge1 0.229 0.771 0.250
Ge2 0.771 0.229 0.750
Ru1 0.337 0.663 0.559
Ru2 0.337 0.663 0.941
Ru3 0.663 0.337 0.059
Ru4 0.663 0.337 0.441
C1 0.500 0.500 0.000
C2 0.500 0.500 0.500

No. 5
VASP calculation (PBE) on a relaxed structure of LaGe2Ru2C.

formation energy = -0.332 eV per atom

Lattice parameters (Å, degrees): 4.151 4.151 5.684 90.00 90.00 90.00
Atoms (fractional coordinates):
La1 0.000 0.000 0.000
Ge1 0.500 0.500 0.219
Ge2 0.500 0.500 0.781
Ru1 0.000 0.500 0.500
Ru2 0.500 0.000 0.500
C1 0.000 0.000 0.500

No. 6
VASP calculation (PBE) on a relaxed structure of La2Sc2Ge2C.

formation energy = -0.842 eV per atom

Lattice parameters (Å, degrees): 8.624 8.624 8.624 149.75 149.75 43.30
Atoms (fractional coordinates):
La1 0.164 0.164 0.000
La2 0.836 0.836 0.000
Sc1 0.000 0.500 0.500
Sc2 0.500 0.000 0.500
Ge1 0.375 0.375 0.000
Ge2 0.625 0.625 0.000
C1 0.000 0.000 0.000

No. 7
VASP calculation (PBE) on a relaxed structure of LaScGe2C.

formation energy = 0.303 eV per atom

Lattice parameters (Å, degrees): 5.067 5.067 4.347 90.00 90.00 90.00
Atoms (fractional coordinates):
La1 0.000 0.000 0.000
Sc1 0.500 0.500 0.500
Ge1 0.000 0.500 0.500
Ge2 0.500 0.000 0.500
C1 0.500 0.500 0.000

No. 8
VASP calculation (PBE) on a relaxed structure of LaGe2CSe.

E_form (uncorrected) = 0.02 eV per formula unit

Lattice parameters (Å, degrees): 4.288 4.288 5.553 90.00 90.00 90.00
Atoms (fractional coordinates):
La1 0.000 0.000 0.000
Ge1 0.000 0.500 0.500
Ge2 0.500 0.000 0.500
C1 0.000 0.000 0.500
Se1 0.500 0.500 0.000

| no. | DFT total energy (eV/atom) |
| --- | --- |
| 1 | -7.361 |
| 2 | -5.791 |
| 3 | -4.636 |
| 4 | -7.924 |
| 5 | -7.322 |
| 6 | -6.696 |
| 7 | -5.640 |
| 8 | -5.371 |